[1]
## PrErW2N6 (GGA-PBE)

Data for a relaxed PrErW2N6 crystal.

Cell: 7.5250 7.5250 6.4783 Å, 107.70 107.70 81.14°
Element x y z (fractional)
Pr  0.0970  0.9030  0.7500
Pr  0.9030  0.0970  0.2500
Er  0.2868  0.7132  0.2500
Er  0.7132  0.2868  0.7500
W  0.2055  0.3769  0.7952
W  0.3769  0.2055  0.2952
W  0.6231  0.7945  0.7048
W  0.7945  0.6231  0.2048
N  0.0000  0.2298  0.6685
N  0.0000  0.7702  0.3315
N  0.1276  0.6211  0.8578
N  0.2298  0.0000  0.1685
N  0.3319  0.3664  0.0945
N  0.3664  0.3319  0.5945
N  0.3789  0.8724  0.6422
N  0.6211  0.1276  0.3578
N  0.6336  0.6681  0.4055
N  0.6681  0.6336  0.9055
N  0.7702  0.0000  0.8315
N  0.8724  0.3789  0.1422

## Properties
**Fermi-level density of states**: 0.00 states/eV/f.u.
**Energy**: -9.464 eV per atom
**Formation energy without anion corrections**: -0.9440 eV/atom

[2]
## PrEr2WN4 (GGA-PBE)

Data for a relaxed PrEr2WN4 crystal.

Cell: 6.1827 6.1827 11.9224 Å, 90.00 90.00 147.95°
Element x y z (fractional)
Pr  0.0867  0.9133  0.7500
Pr  0.9133  0.0867  0.2500
Er  0.3710  0.6290  0.5382
Er  0.3710  0.6290  0.9618
Er  0.6290  0.3710  0.0382
Er  0.6290  0.3710  0.4618
W  0.1711  0.8289  0.2500
W  0.8289  0.1711  0.7500
N  0.0000  0.0000  0.0000
N  0.0000  0.0000  0.5000
N  0.2618  0.7382  0.1176
N  0.2618  0.7382  0.3824
N  0.4275  0.5725  0.7500
N  0.5725  0.4275  0.2500
N  0.7382  0.2618  0.6176
N  0.7382  0.2618  0.8824

## Properties
**Fermi-level density of states**: 2.41 states/eV/f.u.
**Energy**: -8.662 eV per atom
**Formation energy without anion corrections**: -1.1421 eV/atom

[3]
## PrErZrN3 (GGA-PBE)

Data for a relaxed PrErZrN3 crystal.

Cell: 6.5115 3.3308 9.6553 Å, 90.00 93.98 90.00°
Element x y z (fractional)
Pr  0.1634  0.2500  0.2176
Pr  0.8366  0.7500  0.7824
Er  0.1986  0.2500  0.5755
Er  0.8014  0.7500  0.4245
Zr  0.3481  0.7500  0.8929
Zr  0.6519  0.2500  0.1071
N  0.1439  0.2500  0.8285
N  0.1553  0.7500  0.4245
N  0.3969  0.7500  0.1086
N  0.6031  0.2500  0.8914
N  0.8447  0.2500  0.5755
N  0.8561  0.7500  0.1715

## Properties
**Fermi-level density of states**: 1.63 states/eV/f.u.
**Energy**: -8.458 eV per atom
**Formation energy without anion corrections**: -1.3134 eV/atom